1.
Here is a relaxed HoMg2Ga5 crystal from Alexandria via LeMat-Bulk. Energies are from PBE-GGA. Values from VASP.

Calculated values
As for the energy of formation from the pure elements: -0.304 eV per atom.

Geometry as Quantum ESPRESSO input:
```
&SYSTEM
  ibrav = 0, nat = 8, ntyp = 3
/
ATOMIC_SPECIES
Ho 164.93 Ho.upf
Mg 24.30 Mg.upf
Ga 69.72 Ga.upf
CELL_PARAMETERS angstrom
8.599 -2.156 0.000
8.599 2.156 0.000
-1.079 0.000 4.174
ATOMIC_POSITIONS angstrom
Ho 0.000 0.000 0.000
Mg 3.953 0.000 1.023
Mg 12.166 0.000 3.152
Ga 1.541 0.000 2.622
Ga 5.442 0.000 3.629
Ga 8.060 0.000 2.087
Ga 10.677 0.000 0.545
Ga 14.578 0.000 1.552
```

***

2.
Here is a relaxed BaYZr2Tc crystal from Alexandria via LeMat-Bulk. Energies are from PBE-GGA. Values from VASP.

Calculated values
As for the energy of formation from the pure elements: 1.888 eV per atom.

Geometry as Quantum ESPRESSO input:
```
&SYSTEM
  ibrav = 0, nat = 5, ntyp = 4
/
ATOMIC_SPECIES
Ba 137.33 Ba.upf
Y 88.91 Y.upf
Zr 91.22 Zr.upf
Tc 98.00 Tc.upf
CELL_PARAMETERS angstrom
5.277 0.000 0.000
0.000 5.277 0.000
0.000 0.000 5.904
ATOMIC_POSITIONS angstrom
Ba 0.000 0.000 0.000
Y 0.000 0.000 2.952
Zr 0.000 2.638 2.952
Zr 2.638 0.000 2.952
Tc 2.638 2.638 0.000
```

***

3.
Here is a relaxed SmY2Er3Bi6 crystal from Alexandria via LeMat-Bulk. Energies are from PBE-GGA. Values from VASP.

Calculated values
As for the energy of formation from the pure elements: -0.859 eV per atom.

Geometry as Quantum ESPRESSO input:
```
&SYSTEM
  ibrav = 0, nat = 12, ntyp = 4
/
ATOMIC_SPECIES
Sm 150.36 Sm.upf
Y 88.91 Y.upf
Er 167.26 Er.upf
Bi 208.98 Bi.upf
CELL_PARAMETERS angstrom
9.757 -2.239 0.000
9.757 2.239 0.000
-2.045 0.000 8.720
ATOMIC_POSITIONS angstrom
Sm 0.000 0.000 0.000
Y 5.135 0.000 5.811
Y 12.334 0.000 2.909
Er -1.022 0.000 4.360
Er 6.176 0.000 1.458
Er 11.292 0.000 7.263
Bi 2.043 0.000 5.100
Bi 3.124 0.000 0.719
Bi 9.231 0.000 2.225
Bi 8.238 0.000 6.495
Bi 14.344 0.000 8.001
Bi 15.426 0.000 3.620
```

***

4.
Here is a relaxed LiTc2Ni crystal from Alexandria via LeMat-Bulk. Energies are from PBE-GGA. Values from VASP.

Calculated values
As for the energy of formation from the pure elements: 0.174 eV per atom. The energy relative to the lowest polymorph listed for this composition is 6.2 kJ per mole of atoms.

Geometry as Quantum ESPRESSO input:
```
&SYSTEM
  ibrav = 0, nat = 4, ntyp = 3
/
ATOMIC_SPECIES
Li 6.94 Li.upf
Tc 98.00 Tc.upf
Ni 58.69 Ni.upf
CELL_PARAMETERS angstrom
2.555 0.000 0.000
0.000 4.108 0.000
0.000 0.000 4.941
ATOMIC_POSITIONS angstrom
Li 0.000 0.000 0.000
Tc 1.278 2.054 1.219
Tc 1.278 2.054 3.722
Ni 0.000 0.000 2.471
```

***

5.
Here is a relaxed NaTl3Pd6 crystal from Alexandria via LeMat-Bulk. Energies are from PBE-GGA. Values from VASP.

Calculated values
As for the energy of formation from the pure elements: -0.152 eV per atom. The energy relative to the lowest polymorph listed for this composition is 0.0 kJ per mole of atoms.

Geometry as Quantum ESPRESSO input:
```
&SYSTEM
  ibrav = 0, nat = 20, ntyp = 3
/
ATOMIC_SPECIES
Na 22.99 Na.upf
Tl 204.38 Tl.upf
Pd 106.42 Pd.upf
CELL_PARAMETERS angstrom
8.288 0.000 0.000
0.000 4.720 0.000
-3.496 0.000 9.407
ATOMIC_POSITIONS angstrom
Na 0.759 1.180 0.554
Na 4.033 3.540 8.853
Tl -2.106 3.540 6.806
Tl 0.711 3.540 5.051
Tl -0.246 1.180 8.185
Tl 5.038 3.540 1.222
Tl 4.080 1.180 4.357
Tl 6.897 1.180 2.602
Pd -1.058 1.180 5.433
Pd 0.142 3.540 2.305
Pd 2.367 3.540 0.178
Pd 1.314 1.180 3.514
Pd 2.875 3.540 3.026
Pd 3.464 1.180 1.593
Pd 1.328 3.540 7.814
Pd 1.917 1.180 6.381
Pd 3.477 3.540 5.893
Pd 2.425 1.180 9.229
Pd 4.650 1.180 7.103
Pd 5.849 3.540 3.974
```

***

6.
Here is a relaxed Cr2WSe crystal from Alexandria via LeMat-Bulk. Energies are from PBE-GGA. Values from VASP.

Calculated values
The value obtained for the uncorrected formation energy is 0.43 eV per atom.

Geometry as Quantum ESPRESSO input:
```
&SYSTEM
  ibrav = 0, nat = 4, ntyp = 3
/
ATOMIC_SPECIES
Cr 52.00 Cr.upf
W 183.84 W.upf
Se 78.96 Se.upf
CELL_PARAMETERS angstrom
-1.798 1.798 4.361
1.798 -1.798 4.361
1.798 1.798 -4.361
ATOMIC_POSITIONS angstrom
Cr 0.000 0.000 0.000
Cr 0.000 1.798 2.181
W 0.000 0.000 4.361
Se 1.798 0.000 2.181
```

***

7.
Here is a relaxed Y6Cd23 crystal from Alexandria via LeMat-Bulk. Energies are from PBE-GGA. Values from VASP.

Calculated values
As for the energy of formation from the pure elements: -0.210 eV per atom.

Geometry as Quantum ESPRESSO input:
```
&SYSTEM
  ibrav = 0, nat = 29, ntyp = 2
/
ATOMIC_SPECIES
Y 88.91 Y.upf
Cd 112.41 Cd.upf
CELL_PARAMETERS angstrom
0.000 6.999 6.999
6.999 0.000 6.999
6.999 6.999 0.000
ATOMIC_POSITIONS angstrom
Y 6.999 6.999 2.817
Y 6.999 2.817 6.999
Y 11.182 6.999 6.999
Y 2.817 6.999 6.999
Y 6.999 11.182 6.999
Y 6.999 6.999 11.182
Cd 3.500 3.500 0.000
Cd 3.500 0.000 3.500
Cd 6.999 3.500 3.500
Cd 8.699 5.300 5.300
Cd 2.259 2.259 2.259
Cd 4.741 4.741 2.259
Cd 4.741 2.259 4.741
Cd 5.300 5.300 5.300
Cd 8.699 8.699 5.300
Cd 8.699 5.300 8.699
Cd 11.740 9.258 9.258
Cd 0.000 3.500 3.500
Cd 3.500 6.999 3.500
Cd 3.500 3.500 6.999
Cd 6.999 6.999 6.999
Cd 2.259 4.741 4.741
Cd 5.300 8.699 5.300
Cd 5.300 5.300 8.699
Cd 8.699 8.699 8.699
Cd 9.258 11.740 9.258
Cd 9.258 9.258 11.740
Cd 11.740 11.740 11.740
Cd 5.300 8.699 8.699
```

***

8.
Here is a relaxed Sc2FeAs crystal from Alexandria via LeMat-Bulk. Energies are from PBE-GGA. Values from VASP.

Calculated values
As for the energy of formation from the pure elements: -0.322 eV per atom.

Geometry as Quantum ESPRESSO input:
```
&SYSTEM
  ibrav = 0, nat = 4, ntyp = 3
/
ATOMIC_SPECIES
Sc 44.96 Sc.upf
Fe 55.84 Fe.upf
As 74.92 As.upf
CELL_PARAMETERS angstrom
1.840 1.062 6.746
-1.840 1.062 6.746
0.000 -2.124 6.746
ATOMIC_POSITIONS angstrom
Sc 0.000 0.000 5.009
Sc 0.000 0.000 15.227
Fe 0.000 0.000 0.000
As 0.000 0.000 10.118
```

***

9.
Here is a relaxed NaBiIO2 crystal from Alexandria via LeMat-Bulk. Energies are from PBE-GGA. Values from VASP.

Calculated values
The value obtained for the uncorrected formation energy is -0.76 eV per atom. The energy relative to the lowest polymorph listed for this composition is 22.4 kJ per mole of atoms.

Geometry as Quantum ESPRESSO input:
```
&SYSTEM
  ibrav = 0, nat = 5, ntyp = 4
/
ATOMIC_SPECIES
Na 22.99 Na.upf
Bi 208.98 Bi.upf
I 126.90 I.upf
O 16.00 O.upf
CELL_PARAMETERS angstrom
4.334 0.000 0.000
0.000 4.334 0.000
0.000 0.000 6.644
ATOMIC_POSITIONS angstrom
Na 0.000 0.000 0.000
Bi 2.167 2.167 3.322
I 2.167 2.167 0.000
O 0.000 2.167 3.322
O 2.167 0.000 3.322
```

***

10.
Here is a relaxed HfMg4Cd crystal from Alexandria via LeMat-Bulk. Energies are from PBE-GGA. Values from VASP.

Calculated values
As for the energy of formation from the pure elements: 0.002 eV per atom.

Geometry as Quantum ESPRESSO input:
```
&SYSTEM
  ibrav = 0, nat = 6, ntyp = 3
/
ATOMIC_SPECIES
Hf 178.49 Hf.upf
Mg 24.30 Mg.upf
Cd 112.41 Cd.upf
CELL_PARAMETERS angstrom
3.237 0.000 0.000
0.000 3.237 0.000
0.000 0.000 12.486
ATOMIC_POSITIONS angstrom
Hf 0.000 0.000 0.000
Mg 0.000 0.000 4.266
Mg 0.000 0.000 8.220
Mg 1.619 1.619 2.105
Mg 1.619 1.619 10.381
Cd 1.619 1.619 6.243
```

***

11.
Here is a relaxed Rb2InBSe4 crystal from Alexandria via LeMat-Bulk. Energies are from PBE-GGA. Values from VASP.

Calculated values
The value obtained for the uncorrected formation energy is -0.68 eV per atom.

Geometry as Quantum ESPRESSO input:
```
&SYSTEM
  ibrav = 0, nat = 16, ntyp = 4
/
ATOMIC_SPECIES
Rb 85.47 Rb.upf
In 114.82 In.upf
B 10.81 B.upf
Se 78.96 Se.upf
CELL_PARAMETERS angstrom
0.000 7.038 12.410
3.129 0.000 12.410
3.129 7.038 0.000
ATOMIC_POSITIONS angstrom
Rb 2.347 5.279 1.410
Rb 3.911 8.798 7.615
Rb 2.347 5.279 17.205
Rb 3.911 8.798 23.410
In 0.782 1.760 3.103
In 5.476 12.317 21.718
B 2.347 5.279 9.308
B 3.911 8.798 15.513
Se 3.559 4.046 8.077
Se 3.559 6.511 10.539
Se 5.124 7.566 16.744
Se 5.124 10.030 14.282
Se 1.134 4.046 10.539
Se 1.134 6.511 8.077
Se 2.699 7.566 14.282
Se 2.699 10.030 16.744
```

***

12.
Here is a relaxed LaTbTh2 crystal from Alexandria via LeMat-Bulk. Energies are from PBE-GGA. Values from VASP.

Calculated values
As for the energy of formation from the pure elements: 0.071 eV per atom. The energy relative to the lowest polymorph listed for this composition is 4.3 kJ per mole of atoms.

Geometry as Quantum ESPRESSO input:
```
&SYSTEM
  ibrav = 0, nat = 4, ntyp = 3
/
ATOMIC_SPECIES
La 138.91 La.upf
Tb 158.93 Tb.upf
Th 232.04 Th.upf
CELL_PARAMETERS angstrom
5.058 0.000 0.000
0.000 5.058 0.000
0.000 0.000 5.154
ATOMIC_POSITIONS angstrom
La 0.000 0.000 0.000
Tb 2.529 2.529 0.000
Th 0.000 2.529 2.577
Th 2.529 0.000 2.577
```

***

Q: Which E_tot values were calculated for the entries above? A: -3.17; -5.28; -5.41; -6.93; -4.11; -8.49; -2.27; -6.77; -4.09; -2.87; -3.84; -6.03, in eV/atom.